Material: CsHg2GeH
Method: DFT, SCAN
State: single point on PBEsol structure

Structure (CIF):
```
data_CsHg2GeH
_chemical_formula_sum 'Cs1 Hg2 Ge1 H1'
_cell_length_a 7.640
_cell_length_b 7.640
_cell_length_c 6.937
_cell_angle_alpha 90.00
_cell_angle_beta 90.00
_cell_angle_gamma 90.00
_space_group_name_H-M_alt 'P 4/m m m'
_space_group_IT_number 123
_space_group_name_Hall '-P 4 2'
loop_
_atom_site_label
_atom_site_fract_x
_atom_site_fract_y
_atom_site_fract_z
_atom_site_occupancy
Cs1 0.000 0.000 0.000 1
Hg1 0.000 0.500 0.000 1
Ge1 0.000 0.000 0.500 1
H1 0.500 0.500 0.500 1
```

Electronic total energy ... -191.66 eV per cell